[1]
Li2MgPd7: optimized geometry, GGA-PBE.

Unit cell a=7.218 b=11.613 c=4.233 alpha=90.00 beta=90.00 gamma=90.00
Space group Cmmm (No. 65)
Symmetry-distinct sites (fractional):
Li1 0.000 0.197 0.000 (multiplicity 4)
Mg1 0.000 0.500 0.500 (multiplicity 2)
Pd1 0.000 0.000 0.000 (multiplicity 2)
Pd2 0.000 0.272 0.500 (multiplicity 4)
Pd3 0.188 0.380 0.000 (multiplicity 8)

## Properties
electronic total energy	-4.0351	eV/atom
crystal system	orthorhombic
DOS(E_F)	0.920	states/eV/atom
energy relative to the elements	0.142	eV/atom
total magnetization	0.000	μB/f.u.


[2]
La4NdTm3: optimized geometry, GGA-PBE.

Unit cell a=11.700 b=7.342 c=6.384 alpha=90.00 beta=90.00 gamma=90.00
Space group Pmn2_1 (No. 31)
Symmetry-distinct sites (fractional):
La1 0.000 0.131 0.000 (multiplicity 2)
La2 0.000 0.868 0.525 (multiplicity 2)
La3 0.241 0.124 0.341 (multiplicity 4)
Nd1 0.000 0.626 0.013 (multiplicity 2)
Tm1 0.000 0.383 0.511 (multiplicity 2)
Tm2 0.250 0.382 0.841 (multiplicity 4)

## Properties
electronic total energy	-4.7038	eV/atom
crystal system	orthorhombic
DOS(E_F)	1.667	states/eV/atom
E above lowest polymorph	0.0000	eV per atom
energy relative to the elements	0.033	eV/atom
total magnetization	0.000	μB/f.u.


[3]
CrPdSeN2: optimized geometry, GGA-PBE.

Unit cell a=3.634 b=3.634 c=5.355 alpha=90.00 beta=90.00 gamma=90.00
Space group P4/mmm (No. 123)
Symmetry-distinct sites (fractional):
Cr1 0.000 0.000 0.000 (multiplicity 1)
Pd1 0.500 0.500 0.500 (multiplicity 1)
Se1 0.000 0.000 0.500 (multiplicity 1)
N1 0.000 0.500 0.000 (multiplicity 2)

## Properties
electronic total energy	-6.4870	eV/atom
crystal system	tetragonal
DOS(E_F)	0.974	states/eV/atom
E above lowest polymorph	0.0000	eV per atom
total magnetization	0.000	μB/f.u.


[4]
LiNd2Pb5: optimized geometry, GGA-PBE.

Unit cell a=6.881 b=13.563 c=4.867 alpha=90.00 beta=90.00 gamma=90.00
Space group Pbam (No. 55)
Symmetry-distinct sites (fractional):
Li1 0.000 0.000 0.000 (multiplicity 2)
Nd1 0.216 0.365 0.500 (multiplicity 4)
Pb1 0.000 0.500 0.000 (multiplicity 2)
Pb2 0.024 0.758 0.000 (multiplicity 4)
Pb3 0.215 0.112 0.500 (multiplicity 4)

## Properties
electronic total energy	-4.1651	eV/atom
crystal system	orthorhombic
DOS(E_F)	0.448	states/eV/atom
energy relative to the elements	-0.416	eV/atom
total magnetization	0.000	μB/f.u.


[5]
TbEr3Sc2Te6: optimized geometry, GGA-PBE.

Unit cell a=18.650 b=4.270 c=8.583 alpha=90.00 beta=103.11 gamma=90.00
Space group C2/m (No. 12)
Symmetry-distinct sites (fractional):
Tb1 0.000 0.000 0.000 (multiplicity 2)
Er1 0.000 0.000 0.500 (multiplicity 2)
Er2 0.161 0.500 0.831 (multiplicity 4)
Sc1 0.165 0.500 0.331 (multiplicity 4)
Te1 0.005 0.500 0.256 (multiplicity 4)
Te2 0.170 0.000 0.577 (multiplicity 4)
Te3 0.171 0.000 0.092 (multiplicity 4)

## Properties
electronic total energy	-5.3400	eV/atom
crystal system	monoclinic
DOS(E_F)	0.623	states/eV/atom
total magnetization	0.000	μB/f.u.


[6]
SrRhCl: optimized geometry, GGA-PBE.

Unit cell a=6.564 b=6.564 c=6.564 alpha=90.00 beta=90.00 gamma=90.00
Space group F-43m (No. 216)
Symmetry-distinct sites (fractional):
Sr1 0.000 0.000 0.000 (multiplicity 4)
Rh1 0.250 0.250 0.250 (multiplicity 4)
Cl1 0.000 0.000 0.500 (multiplicity 4)

## Properties
electronic total energy	-3.9561	eV/atom
crystal system	cubic
DOS(E_F)	0.283	states/eV/atom
E above lowest polymorph	0.8663	eV per atom
total magnetization	0.000	μB/f.u.


[7]
POsC: optimized geometry, GGA-PBE.

Unit cell a=6.152 b=2.954 c=4.810 alpha=90.00 beta=119.53 gamma=90.00
Space group Cm (No. 8)
Symmetry-distinct sites (fractional):
P1 0.000 0.000 0.000 (multiplicity 2)
Os1 0.058 0.500 0.648 (multiplicity 2)
C1 0.155 0.000 0.417 (multiplicity 2)

## Properties
electronic total energy	-8.0912	eV/atom
crystal system	monoclinic
DOS(E_F)	0.385	states/eV/atom
E above lowest polymorph	0.1373	eV per atom
energy relative to the elements	0.530	eV/atom
total magnetization	0.000	μB/f.u.


[8]
La2YSe: optimized geometry, GGA-PBE.

Unit cell a=13.394 b=3.695 c=5.434 alpha=90.00 beta=113.25 gamma=90.00
Space group Cm (No. 8)
Symmetry-distinct sites (fractional):
La1 0.000 0.000 0.000 (multiplicity 2)
La2 0.196 0.000 0.697 (multiplicity 2)
Y1 0.298 0.500 0.297 (multiplicity 2)
Se1 0.487 0.000 0.489 (multiplicity 2)

## Properties
electronic total energy	-5.6572	eV/atom
crystal system	monoclinic
DOS(E_F)	1.033	states/eV/atom
total magnetization	0.003	μB/f.u.


[9]
KSrIn2: optimized geometry, GGA-PBE.

Unit cell a=11.818 b=4.953 c=7.872 alpha=90.00 beta=126.37 gamma=90.00
Space group C2/m (No. 12)
Symmetry-distinct sites (fractional):
K1 0.000 0.000 0.000 (multiplicity 2)
Sr1 0.000 0.500 0.500 (multiplicity 2)
In1 0.228 0.000 0.574 (multiplicity 4)

## Properties
electronic total energy	-2.1885	eV/atom
crystal system	monoclinic
DOS(E_F)	0.801	states/eV/atom
E above lowest polymorph	0.0710	eV per atom
energy relative to the elements	-0.124	eV/atom
total magnetization	0.000	μB/f.u.